# Mo2Se, optimized geometry, DFT GGA-PBE
data_Mo2Se
_symmetry_space_group_name_H-M 'C 1 m 1'
_symmetry_Int_Tables_number 8
_cell_length_a 10.7358
_cell_length_b 3.1022
_cell_length_c 5.9511
_cell_angle_alpha 90.00
_cell_angle_beta 101.67
_cell_angle_gamma 90.00
loop_
_symmetry_equiv_pos_as_xyz
'x,y,z'
'x,-y,z'
'x+1/2,y+1/2,z'
'x+1/2,-y+1/2,z'
loop_
_atom_site_label
_atom_site_fract_x
_atom_site_fract_y
_atom_site_fract_z
Mo1 0.0000 0.0000 0.0000
Mo2 0.0753 0.0000 0.5269
Mo3 0.2018 0.5000 0.2503
Mo4 0.3514 0.0000 0.6363
Se1 0.2010 0.5000 0.8225
Se2 0.4073 0.0000 0.2536
# **Mass density**: 9.27 Mg/m³
# **Energy relative to the elements, uncorrected**: 0.119 eV/atom